Here is AlAgRh at its PBEsol-relaxed geometry from the Alexandria database. Energies are from SCAN.

Geometry as POSCAR:
```
AlAgRh
1.0
2.890 0.000 0.000
0.000 4.201 0.000
0.000 -2.100 3.638
Al Ag Rh
1 1 1
Cartesian
1.890 0.000 2.425
2.733 0.000 0.000
1.157 2.100 1.213
```

As for the space-group type: P3m1, No. 156. Its energy relative to the elements is -0.39 eV per atom. Its crystal system is trigonal.



Here is BaP2Cl at its PBEsol-relaxed geometry from the Alexandria database. Energies are from SCAN.

Geometry as POSCAR:
```
BaP2Cl
1.0
-2.904 0.762 4.114
-2.894 -3.780 1.810
1.201 -2.237 4.415
P Cl Ba
2 1 1
Cartesian
0.000 0.000 0.000
-3.448 -3.941 7.754
-1.149 -1.314 2.585
-2.298 -2.628 5.169
```

As for the space-group type: F-43m, No. 216. Its crystal system is cubic. The formation energy without anion corrections comes out at -1.27 eV/f.u. The value obtained for the relative energy among the computed polymorphs is 0.745 eV per atom.



Here is Zn8Sb at its PBEsol-relaxed geometry from the Alexandria database. Energies are from SCAN.

Geometry as POSCAR:
```
Zn8Sb
1.0
3.976 0.000 0.000
1.988 5.989 0.000
1.988 0.000 5.989
Zn Sb
8 1
Cartesian
1.988 0.000 2.163
1.988 3.922 2.066
1.988 2.066 3.922
3.976 2.066 2.066
3.976 0.000 3.825
3.976 3.825 0.000
3.976 3.922 3.922
1.988 2.163 0.000
0.000 0.000 0.000
```

As for the space-group type: I4/mmm, No. 139. Its crystal system is tetragonal. The formation energy without anion corrections comes out at 1.07 eV/f.u.



Here is Be3HPd at its PBEsol-relaxed geometry from the Alexandria database. Energies are from SCAN.

Geometry as POSCAR:
```
Be3HPd
1.0
3.436 0.000 0.000
0.000 3.436 0.000
0.000 0.000 3.436
H Pd Be
1 1 3
Cartesian
0.000 0.000 0.000
1.718 1.718 1.718
0.000 1.718 0.000
0.000 0.000 1.718
1.718 0.000 0.000
```

As for the space-group type: Pm-3m, No. 221. The calculated total energy comes out at -50.55 eV per cell. Its crystal system is cubic.



Here is TaMnAl2Au at its PBEsol-relaxed geometry from the Alexandria database. Energies are from SCAN.

Geometry as POSCAR:
```
TaMnAl2Au
1.0
-2.508 3.116 -2.271
-3.677 -2.747 0.291
-1.204 2.050 4.143
Al Ta Au Mn
2 1 1 1
Cartesian
-1.254 1.558 -1.135
-1.839 -1.374 0.145
-3.694 1.209 1.081
0.000 0.000 0.000
-0.602 1.025 2.071
```

As for the space-group type: P4/mmm, No. 123. Its energy relative to the elements is 0.68 eV per atom. Its crystal system is tetragonal.



Here is Fe2SbOs at its PBEsol-relaxed geometry from the Alexandria database. Energies are from SCAN.

Geometry as POSCAR:
```
Fe2SbOs
1.0
2.795 0.000 0.000
0.000 2.795 0.000
0.000 0.000 6.886
Fe Os Sb
2 1 1
Cartesian
0.000 0.000 1.620
0.000 0.000 5.267
1.397 1.397 0.000
1.397 1.397 3.443
```

As for the space-group type: P4/mmm, No. 123. Its crystal system is tetragonal. The formation energy without anion corrections comes out at 2.73 eV/f.u.



Here is CsLiOF2 at its PBEsol-relaxed geometry from the Alexandria database. Energies are from SCAN.

Geometry as POSCAR:
```
CsLiOF2
1.0
4.392 0.000 0.000
0.000 5.059 0.000
0.000 0.000 5.059
F Li Cs O
2 1 1 1
Cartesian
0.000 0.000 2.529
0.000 2.529 0.000
2.196 2.529 2.529
0.000 0.000 0.000
2.196 0.000 0.000
```

As for the space-group type: P4/mmm, No. 123. Its crystal system is tetragonal. The formation energy without anion corrections comes out at -4.94 eV/f.u.



Here is Zn3Ru4 at its PBEsol-relaxed geometry from the Alexandria database. Energies are from SCAN.

Geometry as POSCAR:
```
Zn3Ru4
1.0
2.762 0.000 0.000
0.000 2.762 0.000
-1.381 -1.381 12.252
Ru Zn
4 3
Cartesian
1.381 1.381 8.779
0.000 0.000 3.472
1.381 1.381 1.824
0.000 0.000 10.428
0.000 0.000 0.000
0.000 0.000 7.013
1.381 1.381 5.239
```

As for the space-group type: I4/mmm, No. 139. Its energy relative to the elements is -0.04 eV per atom. Its crystal system is tetragonal.



Here is Tc2MoRh at its PBEsol-relaxed geometry from the Alexandria database. Energies are from SCAN.

Geometry as POSCAR:
```
Tc2MoRh
1.0
-1.976 2.295 -2.336
-2.818 0.199 2.579
1.681 3.076 1.599
Tc Rh Mo
2 1 1
Cartesian
-0.988 1.147 -1.168
-1.409 0.099 1.289
0.840 1.538 0.800
-1.557 2.785 0.921
```

As for the space-group type: P4/mmm, No. 123. Its energy relative to the elements is -0.06 eV per atom. Its crystal system is tetragonal. The value obtained for the relative energy among the computed polymorphs is 0.000 eV per atom.



Here is CdMoPb2 at its PBEsol-relaxed geometry from the Alexandria database. Energies are from SCAN.

Geometry as POSCAR:
```
CdMoPb2
1.0
-0.348 -3.089 1.552
3.237 -0.839 -0.944
2.632 2.929 6.421
Cd Pb Mo
1 2 1
Cartesian
1.420 1.580 3.464
2.479 2.759 6.049
2.153 -1.175 2.034
3.416 0.230 5.114
```

As for the space-group type: P4mm, No. 99. Its energy relative to the elements is 0.61 eV per atom. Its crystal system is tetragonal.



Here is MgTl2Sb at its PBEsol-relaxed geometry from the Alexandria database. Energies are from SCAN.

Geometry as POSCAR:
```
MgTl2Sb
1.0
-4.456 -0.106 1.949
1.005 -4.288 2.065
3.266 4.310 1.631
Tl Mg Sb
2 1 1
Cartesian
0.000 0.000 0.000
-1.457 1.003 2.794
-1.725 -2.197 2.007
1.273 -1.088 2.851
```

As for the space-group type: I-4m2, No. 119. Its crystal system is tetragonal. The formation energy without anion corrections comes out at -0.07 eV/f.u. The value obtained for the relative energy among the computed polymorphs is 0.025 eV per atom.



Here is ReNiOs at its PBEsol-relaxed geometry from the Alexandria database. Energies are from SCAN.

Geometry as POSCAR:
```
ReNiOs
1.0
-1.506 -2.123 -0.642
1.708 -0.206 -3.327
2.599 -1.215 3.517
Os Re Ni
1 1 1
Cartesian
0.995 -1.952 -1.477
1.804 -1.589 1.024
0.002 -0.002 0.001
```

As for the space-group type: Imm2, No. 44. Its energy relative to the elements is 0.01 eV per atom. Its crystal system is orthorhombic. The value obtained for the relative energy among the computed polymorphs is 0.000 eV per atom.